# 1
{
  "formula": "RbCd4P3",
  "functional": "PBE",
  "state": "relaxed",
  "e_form_kj_per_mol_atoms": -17.8,
  "space_group": "R-3m (166)",
  "lattice_angstrom": [[4.340, 0.000, 0.792], [2.098, 3.799, 0.792], [-0.050, -0.030, 12.562]],
  "species": ["P", "P", "P", "Rb", "Cd", "Cd", "Cd", "Cd"],
  "frac_coords": [[0.232, 0.232, 0.303], [0.768, 0.768, 0.697], [0.000, 0.000, 0.000], [0.500, 0.500, 0.500], [0.088, 0.088, 0.737], [0.912, 0.912, 0.263], [0.303, 0.303, 0.092], [0.697, 0.697, 0.908]]
}

# 2
{
  "formula": "Pr12YCd6",
  "functional": "PBE",
  "state": "relaxed",
  "e_form_kj_per_mol_atoms": -10.6,
  "space_group": "R-3 (148)",
  "lattice_angstrom": [[8.316, 0.740, 0.887], [-0.529, 8.332, 0.887], [-0.529, -0.616, 8.357]],
  "species": ["Pr", "Pr", "Pr", "Pr", "Pr", "Pr", "Pr", "Pr", "Pr", "Pr", "Pr", "Pr", "Y", "Cd", "Cd", "Cd", "Cd", "Cd", "Cd"],
  "frac_coords": [[0.808, 0.531, 0.430], [0.430, 0.808, 0.531], [0.531, 0.430, 0.808], [0.192, 0.469, 0.570], [0.570, 0.192, 0.469], [0.469, 0.570, 0.192], [0.046, 0.155, 0.387], [0.845, 0.613, 0.954], [0.613, 0.954, 0.845], [0.954, 0.845, 0.613], [0.155, 0.387, 0.046], [0.387, 0.046, 0.155], [0.000, 0.000, 0.000], [0.739, 0.886, 0.257], [0.743, 0.261, 0.114], [0.114, 0.743, 0.261], [0.261, 0.114, 0.743], [0.257, 0.739, 0.886], [0.886, 0.257, 0.739]]
}

# 3
{
  "formula": "Sr2NCl",
  "functional": "PBE",
  "state": "relaxed",
  "raw_formation_energy_ev_per_fu": -5.71,
  "space_group": "R-3m (166)",
  "lattice_angstrom": [[7.458, 0.001, 0.001], [6.431, 3.777, 0.001], [6.431, 1.749, 3.347]],
  "species": ["Sr", "Sr", "N", "Cl"],
  "frac_coords": [[0.770, 0.770, 0.770], [0.230, 0.230, 0.230], [0.500, 0.500, 0.500], [0.000, 0.000, 0.000]]
}

# 4
{
  "formula": "Li3Cu4Sn2",
  "functional": "PBE",
  "state": "relaxed",
  "e_form_kj_per_mol_atoms": -18.5,
  "space_group": "C2/m (12)",
  "lattice_angstrom": [[-2.753, 0.230, -3.463], [3.083, -3.091, 0.178], [-5.287, -4.732, 3.890]],
  "species": ["Li", "Li", "Li", "Cu", "Cu", "Cu", "Cu", "Sn", "Sn"],
  "frac_coords": [[0.334, 0.668, 0.571], [0.000, 0.000, 0.000], [0.666, 0.332, 0.429], [0.663, 0.327, 0.105], [0.003, 0.006, 0.659], [0.997, 0.994, 0.341], [0.337, 0.673, 0.895], [0.331, 0.662, 0.226], [0.669, 0.338, 0.774]]
}

# 5
{
  "formula": "AcUPa2S8",
  "functional": "PBE",
  "state": "relaxed",
  "raw_formation_energy_ev_per_fu": -18.79,
  "space_group": "P2/m (10)",
  "lattice_angstrom": [[-4.269, -2.902, -3.801], [3.736, 0.810, -5.011], [3.692, -7.458, 1.546]],
  "species": ["Ac", "U", "Pa", "Pa", "S", "S", "S", "S", "S", "S", "S", "S"],
  "frac_coords": [[0.000, 0.000, 0.500], [0.000, 0.000, 0.000], [0.500, 0.500, 0.755], [0.500, 0.500, 0.245], [0.167, 0.757, 0.231], [0.663, 0.719, 0.000], [0.833, 0.243, 0.231], [0.833, 0.243, 0.769], [0.337, 0.281, 0.000], [0.167, 0.757, 0.769], [0.635, 0.716, 0.500], [0.365, 0.284, 0.500]]
}

# 6
{
  "formula": "PrCr2C2",
  "functional": "PBE",
  "state": "relaxed",
  "e_form_kj_per_mol_atoms": -9.6,
  "space_group": "Fddd (70)",
  "lattice_angstrom": [[5.162, 0.122, -1.727], [-2.355, 4.596, -1.727], [-0.175, -0.294, 5.545]],
  "species": ["Pr", "Pr", "Cr", "Cr", "Cr", "Cr", "C", "C", "C", "C"],
  "frac_coords": [[0.875, 0.625, 0.750], [0.125, 0.375, 0.250], [0.240, 0.990, 0.481], [0.490, 0.740, 0.981], [0.760, 0.010, 0.519], [0.510, 0.260, 0.019], [0.182, 0.318, 0.750], [0.432, 0.068, 0.250], [0.568, 0.932, 0.750], [0.818, 0.682, 0.250]]
}

# 7
{
  "formula": "Al2TlW",
  "functional": "PBE",
  "state": "relaxed",
  "e_form_kj_per_mol_atoms": 41.4,
  "space_group": "C2/m (12)",
  "lattice_angstrom": [[5.102, 0.000, 0.006], [4.270, 2.792, 0.006], [0.541, 0.161, 5.094]],
  "species": ["Tl", "Al", "Al", "W"],
  "frac_coords": [[0.750, 0.750, 0.750], [0.984, 0.984, 0.035], [0.516, 0.516, 0.465], [0.250, 0.250, 0.250]]
}

# 8
{
  "formula": "K4Pm3ZrTe8",
  "functional": "PBE",
  "state": "relaxed",
  "raw_formation_energy_ev_per_fu": -20.52,
  "space_group": "R-3m (166)",
  "lattice_angstrom": [[8.981, 0.000, 0.000], [0.000, 9.764, 0.547], [-4.490, -4.488, 6.353]],
  "species": ["K", "K", "K", "K", "Pm", "Pm", "Pm", "Zr", "Te", "Te", "Te", "Te", "Te", "Te", "Te", "Te"],
  "frac_coords": [[0.500, 0.000, 0.000], [0.500, 0.000, 0.500], [0.000, 0.000, 0.000], [0.000, 0.000, 0.500], [0.500, 0.500, 0.000], [0.500, 0.500, 0.500], [0.000, 0.500, 0.500], [0.000, 0.500, 0.000], [0.228, 0.709, 0.981], [0.228, 0.709, 0.456], [0.261, 0.283, 0.522], [0.753, 0.709, 0.981], [0.247, 0.291, 0.019], [0.739, 0.717, 0.478], [0.772, 0.291, 0.544], [0.772, 0.291, 0.019]]
}

The records above yield total energy values of -2.792; -3.758; -4.810; -3.539; -7.183; -8.594; -5.272; -4.553 eV/atom, respectively.
The records above yield calculated volume values of 25.913; 31.092; 23.561; 14.991; 28.494; 12.798; 18.142; 36.194 Å³ per atom, respectively.